[1]
An optimized crystal structure of Dy3AlSn2PdPt2, computed with PBE.

Output
The value obtained for the spin magnetization is 0.01 μB/cell. Its calculated total energy is -52.36 eV/f.u. Its symmetry is Amm2 (38).

a = 3.861 Å, b = 7.595 Å, c = 7.595 Å
α = 120.86°, β = 90.00°, γ = 90.00°
Fractional coordinates of all 9 atoms:
Dy (0.000, 0.000, 0.000)
Dy (0.000, 0.176, 0.578)
Dy (0.000, 0.578, 0.176)
Al (0.500, 0.326, 0.326)
Sn (0.500, 0.583, 0.841)
Sn (0.500, 0.841, 0.583)
Pd (0.000, 0.567, 0.567)
Pt (0.500, 0.255, 0.935)
Pt (0.500, 0.935, 0.255)

=====

[2]
An optimized crystal structure of Dy3Al3SiPd2, computed with PBE.

Output
The value obtained for the spin magnetization is 0.02 μB/cell. Its calculated total energy is -44.31 eV/f.u. Its symmetry is P-62m (189).

a = 7.535 Å, b = 7.535 Å, c = 3.891 Å
α = 90.00°, β = 90.00°, γ = 120.00°
Fractional coordinates of all 9 atoms:
Dy (0.000, 0.274, 0.000)
Dy (0.274, 0.000, 0.000)
Dy (0.726, 0.726, 0.000)
Al (0.000, 0.601, 0.500)
Al (0.399, 0.399, 0.500)
Al (0.601, 0.000, 0.500)
Si (0.000, 0.000, 0.500)
Pd (0.333, 0.667, 0.000)
Pd (0.667, 0.333, 0.000)

=====

[3]
An optimized crystal structure of Dy3Al3SiPd2, computed with PBE.

Output
The value obtained for the spin magnetization is 0.00 μB/cell. Its calculated total energy is -47.53 eV/f.u. Its symmetry is P-62m (189).

a = 7.387 Å, b = 7.387 Å, c = 3.797 Å
α = 90.00°, β = 90.00°, γ = 120.00°
Fractional coordinates of all 9 atoms:
Dy (0.000, 0.599, 0.000)
Dy (0.401, 0.401, 0.000)
Dy (0.599, 0.000, 0.000)
Al (0.000, 0.253, 0.500)
Al (0.253, 0.000, 0.500)
Al (0.747, 0.747, 0.500)
Si (0.000, 0.000, 0.000)
Pd (0.333, 0.667, 0.500)
Pd (0.667, 0.333, 0.500)

=====

[4]
An optimized crystal structure of Tb2DyAl3Si2Pd, computed with PBE.

Output
The value obtained for the spin magnetization is 0.01 μB/cell. Its calculated total energy is -48.27 eV/f.u. Its symmetry is Amm2 (38).

a = 4.262 Å, b = 6.903 Å, c = 6.903 Å
α = 119.99°, β = 90.00°, γ = 90.00°
Fractional coordinates of all 9 atoms:
Tb (0.000, 0.209, 0.791)
Tb (0.000, 0.791, 0.209)
Dy (0.000, 0.374, 0.374)
Al (0.500, 0.030, 0.030)
Al (0.500, 0.553, 0.791)
Al (0.500, 0.791, 0.553)
Si (0.500, 0.125, 0.457)
Si (0.500, 0.457, 0.125)
Pd (0.000, 0.790, 0.790)

=====

[5]
An optimized crystal structure of DyTm2Al3Si2Pd, computed with PBE.

Output
The value obtained for the spin magnetization is 0.00 μB/cell. Its calculated total energy is -47.97 eV/f.u. Its symmetry is Amm2 (38).

a = 4.226 Å, b = 6.841 Å, c = 6.841 Å
α = 120.08°, β = 90.00°, γ = 90.00°
Fractional coordinates of all 9 atoms:
Dy (0.000, 0.000, 0.000)
Tm (0.000, 0.164, 0.582)
Tm (0.000, 0.582, 0.164)
Al (0.500, 0.342, 0.342)
Al (0.500, 0.581, 0.821)
Al (0.500, 0.821, 0.581)
Si (0.500, 0.250, 0.914)
Si (0.500, 0.914, 0.250)
Pd (0.000, 0.578, 0.578)

=====

[6]
An optimized crystal structure of Dy2TmAl3Si2Pd, computed with PBE.

Output
The value obtained for the spin magnetization is 0.00 μB/cell. Its calculated total energy is -48.11 eV/f.u. Its symmetry is Amm2 (38).

a = 4.239 Å, b = 6.859 Å, c = 6.859 Å
α = 119.93°, β = 90.00°, γ = 90.00°
Fractional coordinates of all 9 atoms:
Dy (0.000, 0.209, 0.791)
Dy (0.000, 0.791, 0.209)
Tm (0.000, 0.373, 0.373)
Al (0.500, 0.030, 0.030)
Al (0.500, 0.551, 0.790)
Al (0.500, 0.790, 0.551)
Si (0.500, 0.126, 0.456)
Si (0.500, 0.456, 0.126)
Pd (0.000, 0.787, 0.787)